Entry A
The following is a DFT calculation (PBE-GGA) of LaMgTl2 after structural relaxation.

Values from the calculation:
The total magnetic moment comes out at 0.01 Bohr magnetons per cell. The calculation puts the volume at 28.5 Å³/atom.

The structure in CIF format:
```
data_LaMgTl2
_cell_length_a 7.700
_cell_length_b 7.700
_cell_length_c 7.700
_cell_angle_alpha 90.00
_cell_angle_beta 90.00
_cell_angle_gamma 90.00
_symmetry_space_group_name_H-M 'F -4 3 m'
_symmetry_Int_Tables_number 216
_symmetry_space_group_name_Hall 'F -4 2 3'
loop_
_atom_site_label
_atom_site_fract_x
_atom_site_fract_y
_atom_site_fract_z
La1 0.000 0.000 0.000
Mg1 0.250 0.250 0.250
Tl1 0.000 0.000 0.500
Tl2 0.250 0.250 0.750
```



Entry B
The following is a DFT calculation (PBE-GGA) of LaMgTl2 after structural relaxation.

Values from the calculation:
The total magnetic moment comes out at 0.00 Bohr magnetons per cell. The calculation puts the volume at 28.7 Å³/atom.

The structure in CIF format:
```
data_LaMgTl2
_cell_length_a 4.806
_cell_length_b 4.808
_cell_length_c 9.929
_cell_angle_alpha 90.00
_cell_angle_beta 90.00
_cell_angle_gamma 90.00
_symmetry_space_group_name_H-M 'I m m 2'
_symmetry_Int_Tables_number 44
loop_
_symmetry_equiv_pos_as_xyz
'x,y,z'
'-x,-y,z'
'-x,y,z'
'x,-y,z'
'x+1/2,y+1/2,z+1/2'
'-x+1/2,-y+1/2,z+1/2'
'-x+1/2,y+1/2,z+1/2'
'x+1/2,-y+1/2,z+1/2'
loop_
_atom_site_label
_atom_site_fract_x
_atom_site_fract_y
_atom_site_fract_z
La1 0.000 0.000 0.000
Mg1 0.000 0.500 0.250
Tl1 0.000 0.000 0.498
Tl2 0.000 0.500 0.749
```



In terms of stability, entry B leads; the second structure lies 79 meV/atom higher.



Entry A
The following is a DFT calculation (PBE-GGA) of La4MgTl after structural relaxation.

Values from the calculation:
The total magnetic moment comes out at 0.78 Bohr magnetons per cell. The calculation puts the volume at 33.9 Å³/atom.

The structure in CIF format:
```
data_La4MgTl
_cell_length_a 9.334
_cell_length_b 9.334
_cell_length_c 9.334
_cell_angle_alpha 90.00
_cell_angle_beta 90.00
_cell_angle_gamma 90.00
_symmetry_space_group_name_H-M 'F -4 3 m'
_symmetry_Int_Tables_number 216
_symmetry_space_group_name_Hall 'F -4 2 3'
loop_
_atom_site_label
_atom_site_fract_x
_atom_site_fract_y
_atom_site_fract_z
La1 0.124 0.124 0.376
Mg1 0.000 0.000 0.000
Tl1 0.250 0.250 0.750
```



Entry B
The following is a DFT calculation (PBE-GGA) of La4MgTl after structural relaxation.

Values from the calculation:
The total magnetic moment comes out at 0.00 Bohr magnetons per cell. The calculation puts the volume at 34.0 Å³/atom.

The structure in CIF format:
```
data_La4MgTl
_cell_length_a 6.795
_cell_length_b 9.986
_cell_length_c 6.806
_cell_angle_alpha 90.00
_cell_angle_beta 117.86
_cell_angle_gamma 90.00
_symmetry_space_group_name_H-M 'C 1 2/m 1'
_symmetry_Int_Tables_number 12
loop_
_symmetry_equiv_pos_as_xyz
'x,y,z'
'-x,-y,-z'
'-x,y,-z'
'x,-y,z'
'x+1/2,y+1/2,z'
'-x+1/2,-y+1/2,-z'
'-x+1/2,y+1/2,-z'
'x+1/2,-y+1/2,z'
loop_
_atom_site_label
_atom_site_fract_x
_atom_site_fract_y
_atom_site_fract_z
La1 0.241 0.200 0.238
Mg1 0.000 0.000 0.500
Tl1 0.000 0.500 0.000
```



Entry C
The following is a DFT calculation (PBE-GGA) of La4MgTl after structural relaxation.

Values from the calculation:
The total magnetic moment comes out at 0.01 Bohr magnetons per cell. The calculation puts the volume at 38.2 Å³/atom.

The structure in CIF format:
```
data_La4MgTl
_cell_length_a 7.496
_cell_length_b 7.497
_cell_length_c 8.158
_cell_angle_alpha 90.00
_cell_angle_beta 90.10
_cell_angle_gamma 90.00
_symmetry_space_group_name_H-M 'C 1 2/m 1'
_symmetry_Int_Tables_number 12
loop_
_symmetry_equiv_pos_as_xyz
'x,y,z'
'-x,-y,-z'
'-x,y,-z'
'x,-y,z'
'x+1/2,y+1/2,z'
'-x+1/2,-y+1/2,-z'
'-x+1/2,y+1/2,-z'
'x+1/2,-y+1/2,z'
loop_
_atom_site_label
_atom_site_fract_x
_atom_site_fract_y
_atom_site_fract_z
La1 0.250 0.250 0.247
Mg1 0.000 0.000 0.500
Tl1 0.000 0.500 0.000
```



In terms of stability, entry B leads; the second structure lies 96 meV/atom higher.



Entry A
The following is a DFT calculation (PBE-GGA) of La2Mg2Tl after structural relaxation.

Values from the calculation:
The total magnetic moment comes out at 0.00 Bohr magnetons per cell. The calculation puts the volume at 32.2 Å³/atom.

The structure in CIF format:
```
data_La2Mg2Tl
_cell_length_a 9.506
_cell_length_b 9.506
_cell_length_c 3.559
_cell_angle_alpha 90.00
_cell_angle_beta 90.00
_cell_angle_gamma 90.00
_symmetry_space_group_name_H-M 'P 4/m b m'
_symmetry_Int_Tables_number 127
_symmetry_space_group_name_Hall '-P 4 2ab'
loop_
_atom_site_label
_atom_site_fract_x
_atom_site_fract_y
_atom_site_fract_z
La1 0.180 0.320 0.000
Mg1 0.115 0.615 0.500
Tl1 0.000 0.000 0.000
```



Entry B
The following is a DFT calculation (PBE-GGA) of La2Mg2Tl after structural relaxation.

Values from the calculation:
The total magnetic moment comes out at 0.00 Bohr magnetons per cell. The calculation puts the volume at 29.2 Å³/atom.

The structure in CIF format:
```
data_La2Mg2Tl
_cell_length_a 11.618
_cell_length_b 5.271
_cell_length_c 9.954
_cell_angle_alpha 90.00
_cell_angle_beta 106.99
_cell_angle_gamma 90.00
_symmetry_space_group_name_H-M 'C 1 2/m 1'
_symmetry_Int_Tables_number 12
loop_
_symmetry_equiv_pos_as_xyz
'x,y,z'
'-x,-y,-z'
'-x,y,-z'
'x,-y,z'
'x+1/2,y+1/2,z'
'-x+1/2,-y+1/2,-z'
'-x+1/2,y+1/2,-z'
'x+1/2,-y+1/2,z'
loop_
_atom_site_label
_atom_site_fract_x
_atom_site_fract_y
_atom_site_fract_z
La1 0.046 0.000 0.354
La2 0.173 0.000 0.061
Mg1 0.013 0.500 0.858
Mg2 0.136 0.500 0.585
Tl1 0.244 0.500 0.299
```



In terms of stability, entry B leads; the second structure lies 244 meV/atom higher.



Entry A
The following is a DFT calculation (PBE-GGA) of La4MgTl2 after structural relaxation.

Values from the calculation:
The total magnetic moment comes out at 0.00 Bohr magnetons per cell. The calculation puts the volume at 32.5 Å³/atom.

The structure in CIF format:
```
data_La4MgTl2
_cell_length_a 8.386
_cell_length_b 6.643
_cell_length_c 8.885
_cell_angle_alpha 90.00
_cell_angle_beta 113.29
_cell_angle_gamma 90.00
_symmetry_space_group_name_H-M 'P 1 21/m 1'
_symmetry_Int_Tables_number 11
loop_
_symmetry_equiv_pos_as_xyz
'x,y,z'
'-x,-y,-z'
'-x,y+1/2,-z'
'x,-y+1/2,z'
loop_
_atom_site_label
_atom_site_fract_x
_atom_site_fract_y
_atom_site_fract_z
La1 0.033 0.250 0.495
La2 0.171 0.508 0.222
La3 0.333 0.250 0.890
Mg1 0.411 0.750 0.679
Tl1 0.220 0.750 0.904
Tl2 0.447 0.250 0.575
```



Entry B
The following is a DFT calculation (PBE-GGA) of La4MgTl2 after structural relaxation.

Values from the calculation:
The total magnetic moment comes out at 0.01 Bohr magnetons per cell. The calculation puts the volume at 33.4 Å³/atom.

The structure in CIF format:
```
data_La4MgTl2
_cell_length_a 5.5331
_cell_length_b 5.5331
_cell_length_c 26.4937
_cell_angle_alpha 90.00
_cell_angle_beta 90.00
_cell_angle_gamma 120.00
_symmetry_space_group_name_H-M 'R -3 m'
_symmetry_Int_Tables_number 166
_symmetry_space_group_name_Hall '-R 3 2"'
loop_
_atom_site_label
_atom_site_fract_x
_atom_site_fract_y
_atom_site_fract_z
La1 0.0000 0.0000 0.1144
La2 0.0000 0.0000 0.3674
Mg1 0.0000 0.0000 0.5000
Tl1 0.0000 0.0000 0.2423
```



In terms of stability, entry B leads; the second structure lies 79 meV/atom higher.



Entry A
The following is a DFT calculation (PBE-GGA) of La3MgTl2 after structural relaxation.

Values from the calculation:
The total magnetic moment comes out at 0.00 Bohr magnetons per cell. The calculation puts the volume at 31.4 Å³/atom.

The structure in CIF format:
```
data_La3MgTl2
_cell_length_a 3.939
_cell_length_b 3.939
_cell_length_c 12.149
_cell_angle_alpha 90.00
_cell_angle_beta 90.00
_cell_angle_gamma 90.00
_symmetry_space_group_name_H-M 'P 4/m m m'
_symmetry_Int_Tables_number 123
_symmetry_space_group_name_Hall '-P 4 2'
loop_
_atom_site_label
_atom_site_fract_x
_atom_site_fract_y
_atom_site_fract_z
La1 0.000 0.000 0.000
La2 0.000 0.000 0.339
Mg1 0.500 0.500 0.500
Tl1 0.500 0.500 0.174
```



Entry B
The following is a DFT calculation (PBE-GGA) of La3MgTl2 after structural relaxation.

Values from the calculation:
The total magnetic moment comes out at 0.00 Bohr magnetons per cell. The calculation puts the volume at 31.4 Å³/atom.

The structure in CIF format:
```
data_La3MgTl2
_cell_length_a 5.6196
_cell_length_b 5.6196
_cell_length_c 13.7973
_cell_angle_alpha 90.00
_cell_angle_beta 90.00
_cell_angle_gamma 120.00
_symmetry_space_group_name_H-M 'P -3 m 1'
_symmetry_Int_Tables_number 164
_symmetry_space_group_name_Hall '-P 3 2"'
loop_
_atom_site_label
_atom_site_fract_x
_atom_site_fract_y
_atom_site_fract_z
La1 0.0000 0.0000 0.2484
La2 0.3333 0.6667 0.4197
La3 0.3333 0.6667 0.9201
Mg1 0.3333 0.6667 0.6693
Tl1 0.0000 0.0000 0.0000
Tl2 0.0000 0.0000 0.5000
Tl3 0.3333 0.6667 0.1768
```



In terms of stability, entry B leads; the second structure lies 10 meV/atom higher.



Entry A
The following is a DFT calculation (PBE-GGA) of LaMg3Tl3 after structural relaxation.

Values from the calculation:
The total magnetic moment comes out at 5.76 Bohr magnetons per cell. The calculation puts the volume at 46.0 Å³/atom.

The structure in CIF format:
```
data_LaMg3Tl3
_cell_length_a 13.707
_cell_length_b 13.707
_cell_length_c 13.707
_cell_angle_alpha 90.00
_cell_angle_beta 90.00
_cell_angle_gamma 90.00
_symmetry_space_group_name_H-M 'F m -3 m'
_symmetry_Int_Tables_number 225
_symmetry_space_group_name_Hall '-F 4 2 3'
loop_
_atom_site_label
_atom_site_fract_x
_atom_site_fract_y
_atom_site_fract_z
La1 0.250 0.250 0.250
Mg1 0.000 0.000 0.150
Tl1 0.000 0.000 0.341
```



Entry B
The following is a DFT calculation (PBE-GGA) of LaMg3Tl3 after structural relaxation.

Values from the calculation:
The total magnetic moment comes out at 0.46 Bohr magnetons per cell. The calculation puts the volume at 33.2 Å³/atom.

The structure in CIF format:
```
data_LaMg3Tl3
_cell_length_a 7.749
_cell_length_b 7.749
_cell_length_c 7.749
_cell_angle_alpha 90.00
_cell_angle_beta 90.00
_cell_angle_gamma 90.00
_symmetry_space_group_name_H-M 'P m -3 n'
_symmetry_Int_Tables_number 223
_symmetry_space_group_name_Hall '-P 4n 2 3'
loop_
_atom_site_label
_atom_site_fract_x
_atom_site_fract_y
_atom_site_fract_z
La1 0.000 0.000 0.000
Mg1 0.000 0.250 0.500
Tl1 0.000 0.500 0.250
```



In terms of stability, entry B leads; the second structure lies 457 meV/atom higher.